No. 1
First-principles (PBEsol) data for a geometry-optimized Y2Mo2P structure, as listed in Alexandria.

The density of states at the Fermi level is 0.848 states/eV per atom. The total energy comes out at -8.720 eV per atom. As for the formation energy: -0.63 eV per formula unit.

It has space group I4/mmm (No. 139), with a = 3.528 Å, b = 3.528 Å, c = 16.953 Å, α = 90.00°, β = 90.00° and γ = 90.00°. The distinct sites, in fractional coordinates, are Y at (0.000, 0.000, 0.094), Mo at (0.000, 0.500, 0.250) and P at (0.000, 0.000, 0.500).

***

No. 2
First-principles (PBEsol) data for a geometry-optimized ZnMoP structure, as listed in Alexandria.

The density of states at the Fermi level is 0.967 states/eV per atom. The total energy comes out at -5.448 eV per atom. As for the formation energy: 2.80 eV per formula unit.

It has space group F-43m (No. 216), with a = 5.757 Å, b = 5.757 Å, c = 5.757 Å, α = 90.00°, β = 90.00° and γ = 90.00°. The distinct sites, in fractional coordinates, are Zn at (0.000, 0.000, 0.000), Mo at (0.250, 0.250, 0.750) and P at (0.250, 0.250, 0.250).